Entry 1:
ZnAgRh2: PBEsol geometry, SCAN.

a b c (Å): 3.6574 3.9246 3.9246
angles (deg): 90.00 90.00 90.00
Positions (direct):
1 Ag 0.5000 0.0000 0.0000
2 Rh 0.0000 0.0000 0.5000
3 Rh 0.0000 0.5000 0.0000
4 Zn 0.5000 0.5000 0.5000

Summary:
Formation energy from the elements: 85 meV/atom
Symmetry: No. 123
Total magnetic moment: 0.002 μB/f.u.

Entry 2:
ZnAgRh2: PBEsol geometry, SCAN.

a b c (Å): 2.7345 2.7345 7.5516
angles (deg): 90.00 90.00 90.00
Positions (direct):
1 Ag 0.5000 0.5000 0.7446
2 Rh 0.0000 0.0000 0.0185
3 Rh 0.5000 0.5000 0.2511
4 Zn 0.0000 0.0000 0.4858

Summary:
Formation energy from the elements: -40 meV/atom
Symmetry: No. 99
Total magnetic moment: 0.003 μB/f.u.

> Which of these has the highest total magnetic moment?

number 2